# Tl2OsRu

Tl2OsRu after structural relaxation (PBE, Alexandria).

Summary:
Mass density (g/cm3): 15.80
D(E_F) (states/eV/atom): 1.43
Distance to the lowest polymorph of the same formula (meV per atom): 576
ΔH_f (0 K) (meV per atom): 1071.0

The structure in POSCAR format:
```
Tl2OsRu
1.0
-0.532 -5.212 0.491
2.257 -1.920 4.348
-3.333 3.956 -0.965
Tl Os Ru
2 1 1
direct
0.250 0.750 0.500
0.000 0.000 0.000
0.500 0.500 0.000
0.750 0.250 0.500
```